Entry from Alexandria via LeMat-Bulk: crystalline MnMoAsRh at its relaxed geometry (PBE).

a b c (Å): 4.3270 4.3270 4.3270
angles (deg): 60.00 60.00 60.00
Element x y z (fractional)
Mn1 0.0000 0.0000 0.0000
Mo1 0.2500 0.2500 0.2500
As1 0.5000 0.5000 0.5000
Rh1 0.7500 0.7500 0.7500

Properties
Raw total energy   -32.6 eV for the cell shown
ΔH_f (0 K)   -148 meV/atom


Entry from Alexandria via LeMat-Bulk: crystalline MnMoAsRu at its relaxed geometry (PBE).

a b c (Å): 4.3004 4.3004 4.3004
angles (deg): 60.00 60.00 60.00
Element x y z (fractional)
Mn1 0.0000 0.0000 0.0000
Mo1 0.7500 0.7500 0.7500
As1 0.5000 0.5000 0.5000
Ru1 0.2500 0.2500 0.2500

Properties
Raw total energy   -34.2 eV for the cell shown
ΔH_f (0 K)   -76 meV/atom


Entry from Alexandria via LeMat-Bulk: crystalline Mn5As2N at its relaxed geometry (PBE).

a b c (Å): 6.5306 5.3348 11.2191
angles (deg): 90.00 90.00 90.00
Element x y z (fractional)
Mn1 0.0000 0.0000 0.0000
Mn2 0.0000 0.5000 0.0000
Mn3 0.0290 0.2500 0.2104
Mn4 0.1338 0.0147 0.6074
Mn5 0.1338 0.4853 0.6074
Mn6 0.2148 0.7500 0.3965
Mn7 0.2852 0.2500 0.8965
Mn8 0.3662 0.5147 0.1074
Mn9 0.3662 0.9853 0.1074
Mn10 0.4710 0.7500 0.7104
Mn11 0.5000 0.0000 0.5000
Mn12 0.5000 0.5000 0.5000
Mn13 0.5290 0.2500 0.2896
Mn14 0.6338 0.0147 0.8926
Mn15 0.6338 0.4853 0.8926
Mn16 0.7148 0.7500 0.1035
Mn17 0.7852 0.2500 0.6035
Mn18 0.8662 0.5147 0.3926
Mn19 0.8662 0.9853 0.3926
Mn20 0.9710 0.7500 0.7896
As1 0.0478 0.7500 0.2033
As2 0.1885 0.2500 0.4154
As3 0.3115 0.7500 0.9154
As4 0.4522 0.2500 0.7033
As5 0.5478 0.7500 0.2967
As6 0.6885 0.2500 0.0846
As7 0.8115 0.7500 0.5846
As8 0.9522 0.2500 0.7967
N1 0.1864 0.2500 0.0615
N2 0.3136 0.7500 0.5615
N3 0.6864 0.2500 0.4385
N4 0.8136 0.7500 0.9385

Properties
Raw total energy   -256.5 eV for the cell shown


Entry from Alexandria via LeMat-Bulk: crystalline MnAs3N at its relaxed geometry (PBE).

a b c (Å): 4.4578 4.4578 4.4578
angles (deg): 90.00 90.00 90.00
Element x y z (fractional)
Mn1 0.0000 0.0000 0.0000
As1 0.0000 0.0000 0.5000
As2 0.0000 0.5000 0.0000
As3 0.5000 0.0000 0.0000
N1 0.5000 0.5000 0.5000

Properties
Raw total energy   -25.3 eV for the cell shown
Excess energy over the best structure of this formula in the dataset   1.03 eV per formula unit


Entry from Alexandria via LeMat-Bulk: crystalline MnAs4N2 at its relaxed geometry (PBE).

a b c (Å): 6.2407 6.2407 6.2407
angles (deg): 137.15 137.15 62.21
Element x y z (fractional)
Mn1 0.0000 0.0000 0.0000
As1 0.0000 0.5000 0.5000
As2 0.2251 0.2251 0.0000
As3 0.5000 0.0000 0.5000
As4 0.7749 0.7749 0.0000
N1 0.3897 0.3897 0.0000
N2 0.6103 0.6103 0.0000

Properties
Raw total energy   -38.1 eV for the cell shown


Entry from Alexandria via LeMat-Bulk: crystalline Mn21As2N6 at its relaxed geometry (PBE).

a b c (Å): 7.3833 7.3833 7.3833
angles (deg): 60.00 60.00 60.00
Element x y z (fractional)
Mn1 0.0000 0.0000 0.0000
Mn2 0.0000 0.0000 0.3295
Mn3 0.0000 0.0000 0.6705
Mn4 0.0000 0.3295 0.0000
Mn5 0.0000 0.3295 0.6705
Mn6 0.0000 0.6705 0.0000
Mn7 0.0000 0.6705 0.3295
Mn8 0.1457 0.6181 0.6181
Mn9 0.3295 0.0000 0.0000
Mn10 0.3295 0.0000 0.6705
Mn11 0.3295 0.6705 0.0000
Mn12 0.3819 0.3819 0.3819
Mn13 0.3819 0.3819 0.8543
Mn14 0.3819 0.8543 0.3819
Mn15 0.6181 0.1457 0.6181
Mn16 0.6181 0.6181 0.1457
Mn17 0.6181 0.6181 0.6181
Mn18 0.6705 0.0000 0.0000
Mn19 0.6705 0.0000 0.3295
Mn20 0.6705 0.3295 0.0000
Mn21 0.8543 0.3819 0.3819
As1 0.2500 0.2500 0.2500
As2 0.7500 0.7500 0.7500
N1 0.2747 0.2747 0.7253
N2 0.2747 0.7253 0.2747
N3 0.2747 0.7253 0.7253
N4 0.7253 0.2747 0.2747
N5 0.7253 0.2747 0.7253
N6 0.7253 0.7253 0.2747

Properties
Raw total energy   -252.4 eV for the cell shown


Entry from Alexandria via LeMat-Bulk: crystalline MnAs3N at its relaxed geometry (PBE).

a b c (Å): 4.2107 4.2107 4.2107
angles (deg): 90.00 90.00 90.00
Element x y z (fractional)
Mn1 0.0000 0.0000 0.0000
As1 0.0000 0.5000 0.5000
As2 0.5000 0.0000 0.5000
As3 0.5000 0.5000 0.0000
N1 0.5000 0.5000 0.5000

Properties
Raw total energy   -26.3 eV for the cell shown
Excess energy over the best structure of this formula in the dataset   0.00 eV per formula unit


Entry from Alexandria via LeMat-Bulk: crystalline MnAsN3 at its relaxed geometry (PBE).

a b c (Å): 3.6666 3.6666 3.6666
angles (deg): 90.00 90.00 90.00
Element x y z (fractional)
Mn1 0.0000 0.0000 0.0000
As1 0.5000 0.5000 0.5000
N1 0.0000 0.5000 0.5000
N2 0.5000 0.0000 0.5000
N3 0.5000 0.5000 0.0000

Properties
Raw total energy   -30.0 eV for the cell shown


Entry from Alexandria via LeMat-Bulk: crystalline MnAsN3 at its relaxed geometry (PBE).

a b c (Å): 3.7180 3.7180 3.7180
angles (deg): 90.00 90.00 90.00
Element x y z (fractional)
Mn1 0.0000 0.0000 0.0000
As1 0.5000 0.5000 0.5000
N1 0.0000 0.0000 0.5000
N2 0.0000 0.5000 0.0000
N3 0.5000 0.0000 0.0000

Properties
Raw total energy   -32.9 eV for the cell shown


Entry from Alexandria via LeMat-Bulk: crystalline MnAsN2 at its relaxed geometry (PBE).

a b c (Å): 6.2616 6.2616 6.2616
angles (deg): 27.03 27.03 27.03
Element x y z (fractional)
Mn1 0.0000 0.0000 0.0000
As1 0.5000 0.5000 0.5000
N1 0.3897 0.3897 0.3897
N2 0.6103 0.6103 0.6103

Properties
Raw total energy   -29.6 eV for the cell shown


Entry from Alexandria via LeMat-Bulk: crystalline MnAsN2 at its relaxed geometry (PBE).

a b c (Å): 5.4607 5.4607 5.4607
angles (deg): 128.28 128.28 76.17
Element x y z (fractional)
Mn1 0.0000 0.0000 0.0000
Mn2 0.7500 0.2500 0.5000
As1 0.2500 0.7500 0.5000
As2 0.5000 0.5000 0.0000
N1 0.0585 0.6250 0.9335
N2 0.3750 0.3085 0.4335
N3 0.6915 0.1250 0.0665
N4 0.8750 0.9415 0.5665

Properties
Raw total energy   -57.4 eV for the cell shown


Entry from Alexandria via LeMat-Bulk: crystalline Mn4As2N at its relaxed geometry (PBE).

a b c (Å): 6.8716 6.8716 6.8716
angles (deg): 147.82 147.82 46.15
Element x y z (fractional)
Mn1 0.0000 0.5000 0.5000
Mn2 0.1598 0.1598 0.0000
Mn3 0.5000 0.0000 0.5000
Mn4 0.8402 0.8402 0.0000
As1 0.3571 0.3571 0.0000
As2 0.6429 0.6429 0.0000
N1 0.0000 0.0000 0.0000

Properties
Raw total energy   -55.2 eV for the cell shown


Entry from Alexandria via LeMat-Bulk: crystalline Na2Mn2As2N at its relaxed geometry (PBE).

a b c (Å): 8.1198 8.1198 8.1198
angles (deg): 152.88 152.88 38.73
Element x y z (fractional)
Na1 0.1778 0.1778 0.0000
Na2 0.8222 0.8222 0.0000
Mn1 0.0000 0.5000 0.5000
Mn2 0.5000 0.0000 0.5000
As1 0.3904 0.3904 0.0000
As2 0.6096 0.6096 0.0000
N1 0.0000 0.0000 0.0000

Properties
Raw total energy   -40.6 eV for the cell shown


Entry from Alexandria via LeMat-Bulk: crystalline Mn2NiAsN at its relaxed geometry (PBE).

a b c (Å): 3.9353 3.9353 3.8323
angles (deg): 90.00 90.00 90.00
Element x y z (fractional)
Mn1 0.0000 0.5000 0.0000
Mn2 0.5000 0.0000 0.0000
Ni1 0.0000 0.0000 0.5000
As1 0.5000 0.5000 0.5000
N1 0.0000 0.0000 0.0000

Properties
Raw total energy   -37.7 eV for the cell shown


Entry from Alexandria via LeMat-Bulk: crystalline MnNi2AsN at its relaxed geometry (PBE).

a b c (Å): 3.8274 3.8274 3.9574
angles (deg): 90.00 90.00 90.00
Element x y z (fractional)
Mn1 0.0000 0.0000 0.0000
Ni1 0.0000 0.5000 0.5000
Ni2 0.5000 0.0000 0.5000
As1 0.5000 0.5000 0.0000
N1 0.0000 0.0000 0.5000

Properties
Raw total energy   -34.1 eV for the cell shown


Entry from Alexandria via LeMat-Bulk: crystalline Np2Mn2As2N at its relaxed geometry (PBE).

a b c (Å): 7.7797 7.7797 7.7797
angles (deg): 150.02 150.02 42.91
Element x y z (fractional)
Np1 0.1653 0.1653 0.0000
Np2 0.8347 0.8347 0.0000
Mn1 0.0000 0.5000 0.5000
Mn2 0.5000 0.0000 0.5000
As1 0.3772 0.3772 0.0000
As2 0.6228 0.6228 0.0000
N1 0.0000 0.0000 0.0000

Properties
Raw total energy   -65.1 eV for the cell shown